Entry 1:
Material: PrDyCu
Method: DFT, PBE
State: optimized geometry

Results
- D(E_F): 3.33 states/eV/cell
- Offset from the most stable computed form: 51 kJ/mol of formula units
- Total energy: -4.4314 eV/atom
- DFT formation energy: 0.061 eV/atom
- Symmetry: P3m1 (156)

a = 3.9043 Å, b = 4.8274 Å, c = 4.8274 Å
α = 120.00°, β = 90.00°, γ = 90.00°
Closest atoms and distances in Å follow each position.
Fractional positions:
Pr (0.7050, 0.6667, 0.3333)  3 Cu 3.11, 6 Dy 3.33-3.47
Dy (0.2365, 0.3333, 0.6667)  3 Cu 2.87
Cu (0.0585, 0.0000, 0.0000)  3 Dy 2.87, 3 Pr 3.11

Entry 2:
Material: Pr2DyCu
Method: DFT, PBE
State: optimized geometry

Results
- D(E_F): 6.68 states/eV/cell
- Offset from the most stable computed form: 0 kJ/mol of formula units
- Total energy: -4.5928 eV/atom
- DFT formation energy: -0.029 eV/atom
- Symmetry: P4/mmm (123)

a = 3.6554 Å, b = 3.6554 Å, c = 8.6707 Å
α = 90.00°, β = 90.00°, γ = 90.00°
Closest atoms and distances in Å follow each position.
Fractional positions:
Dy (0.5000, 0.5000, 0.5000)  8 Pr 3.65, 4 Dy 3.66
Cu (0.5000, 0.5000, 0.0000)  8 Pr 3.13
Pr (0.0000, 0.0000, 0.7965)  4 Cu 3.13
Pr (0.0000, 0.0000, 0.2035)  4 Cu 3.13

Entry 3:
Material: PrDy3Cu4
Method: DFT, PBE
State: optimized geometry

Results
- D(E_F): 10.60 states/eV/cell
- Total energy: -4.5833 eV/atom
- DFT formation energy: -0.212 eV/atom
- Symmetry: P4/mmm (123)

a = 4.9667 Å, b = 6.9863 Å, c = 9.9323 Å
α = 90.00°, β = 90.00°, γ = 90.00°
Closest atoms and distances in Å follow each position.
Fractional positions:
Dy (0.4997, 0.0000, 0.7500)  8 Cu 2.99
Dy (0.0000, 0.0000, 0.0000)  8 Cu 2.99
Cu (0.5000, 0.7628, 0.5000)  6 Dy 2.99-3.09, 2 Pr 3.09, 1 Cu 3.31
Cu (0.5000, 0.2372, 0.0000)  6 Dy 2.99-3.09, 2 Pr 3.09, 1 Cu 3.31
Cu (0.9997, 0.2374, 0.7500)  6 Dy 2.99-3.09, 2 Pr 3.09, 1 Cu 3.32
Pr (0.0000, 0.5000, 0.0000)  8 Cu 3.09
Cu (0.0003, 0.7626, 0.2500)  6 Dy 2.99-3.09, 2 Pr 3.09, 1 Cu 3.32
Cu (0.5000, 0.7628, 0.0000)  6 Dy 2.99-3.09, 2 Pr 3.09, 1 Cu 3.31
Cu (0.0003, 0.2374, 0.2500)  6 Dy 2.99-3.09, 2 Pr 3.09, 1 Cu 3.32
Cu (0.9997, 0.7626, 0.7500)  6 Dy 2.99-3.09, 2 Pr 3.09, 1 Cu 3.32
Dy (0.4999, 0.5000, 0.7500)  8 Cu 3.09
Dy (0.0000, 0.0000, 0.5000)  8 Cu 2.99
Dy (0.5003, 0.0000, 0.2500)  8 Cu 2.99
Cu (0.5000, 0.2372, 0.5000)  6 Dy 2.99-3.09, 2 Pr 3.09, 1 Cu 3.31
Pr (0.0000, 0.5000, 0.5000)  8 Cu 3.09
Dy (0.5001, 0.5000, 0.2500)  8 Cu 3.09

Question: Among the records above, which one has the lowest D(E_F)?
Answer: PrDyCu

Question: What is the formula in the third record?
Answer: PrDy3Cu4

Question: DFT formation energy of number 1 (PrDyCu)?
Answer: 0.061 eV/atom

Question: What is the DFT formation energy in the third record?
Answer: -0.212 eV/atom